A geometry-optimized Li2CrO4 structure. Source: Alexandria via LeMat-Bulk, functional PBE with a Hubbard U.

a b c (Å): 6.8313 5.2862 5.1840
angles (deg): 90.00 90.00 90.00
Closest atoms and distances in Å follow each position.
Space group Pmn2_1 (No. 31)
Unique sites:
Li  0.2489  0.1782  0.0000 [4 per cell]  4 O 1.99-2.02
Cr  0.0000  0.6872  0.0059 [2 per cell]  4 O 1.66-1.67
O  0.0000  0.3765  0.9469 [2 per cell]  1 Cr 1.67
O  0.0000  0.7393  0.3232 [2 per cell]  1 Cr 1.67
O  0.1981  0.8216  0.8794 [4 per cell]  1 Cr 1.66

* excess energy over the best structure of this formula in the dataset: 0.0155 eV/atom